(1)
Crystalline CdAs at its relaxed geometry, computed with GGA-PBEsol.

Summary:
Density of states at the Fermi level, states/eV/cell: 0.89
Energy of formation, eV/atom: 0.23
Final energy, eV per atom: -2.9258

Unit cell a=3.082 b=3.082 c=4.267 alpha=90.00 beta=90.00 gamma=90.00
Space group P4/mmm (No. 123)
Symmetry-distinct sites (fractional):
Cd 0.000 0.000 0.000 (multiplicity 1)
As 0.500 0.500 0.500 (multiplicity 1)



(2)
Crystalline PrHgPd at its relaxed geometry, computed with GGA-PBEsol.

Summary:
Density of states at the Fermi level, states/eV/cell: 5.77
Energy of formation, eV/atom: -0.72
Final energy, eV per atom: -4.6217

Unit cell a=7.7072 b=7.7072 c=3.9027 alpha=90.00 beta=90.00 gamma=120.00
Space group P-62m (No. 189)
Symmetry-distinct sites (fractional):
Pr 0.0000 0.5998 0.0000 (multiplicity 3)
Hg 0.0000 0.2624 0.5000 (multiplicity 3)
Pd 0.0000 0.0000 0.0000 (multiplicity 1)
Pd 0.3333 0.6667 0.5000 (multiplicity 2)



(3)
Crystalline Zr2AlAu at its relaxed geometry, computed with GGA-PBEsol.

Summary:
Density of states at the Fermi level, states/eV/cell: 19.29
Energy of formation, eV/atom: -0.07
Final energy, eV per atom: -6.6203

Unit cell a=6.717 b=6.717 c=6.717 alpha=90.00 beta=90.00 gamma=90.00
Space group F-43m (No. 216)
Symmetry-distinct sites (fractional):
Zr 0.000 0.000 0.000 (multiplicity 4)
Zr 0.250 0.250 0.250 (multiplicity 4)
Al 0.000 0.000 0.500 (multiplicity 4)
Au 0.250 0.250 0.750 (multiplicity 4)



(4)
Crystalline As2OsW at its relaxed geometry, computed with GGA-PBEsol.

Summary:
Density of states at the Fermi level, states/eV/cell: 18.45
Energy of formation, eV/atom: 0.72
Final energy, eV per atom: -8.3381

Unit cell a=6.308 b=6.308 c=6.308 alpha=90.00 beta=90.00 gamma=90.00
Space group F-43m (No. 216)
Symmetry-distinct sites (fractional):
As 0.000 0.000 0.000 (multiplicity 4)
As 0.250 0.250 0.250 (multiplicity 4)
Os 0.000 0.000 0.500 (multiplicity 4)
W 0.250 0.250 0.750 (multiplicity 4)



Look up the final energy of the first one.
-2.9258 eV per atom



Which value of density of states at the Fermi level does entry 3 give?
19.29 states/eV/cell



Which value of density of states at the Fermi level does entry 4 give?
18.45 states/eV/cell